Below is crystalline MnWAu2 at its relaxed geometry, with properties calculated at the PBE level.

Geometry as POSCAR:
```
MnWAu2
1.0
5.674 0.000 0.000
0.000 5.674 0.000
2.837 2.837 5.645
Au Mn W
4 2 2
Direct
0.875 0.856 0.750
0.375 0.394 0.750
0.606 0.125 0.250
0.144 0.625 0.250
0.500 0.500 0.000
0.250 0.750 0.500
0.000 0.000 0.000
0.750 0.250 0.500
```

Computed properties:
Fermi-level density of states: 4.514 states/eV per cell
Energy of formation from the pure elements: 1.745 eV per atom
Relative energy among the computed polymorphs: 1553 meV per atom
Final energy: -5.425 eV per atom